PBE K2Li, optimized geometry; total DFT energy (no corrections) = -1.204 eV per atom; DOS at the Fermi energy = 0.80 states/eV/atom; symmetry = P6/mmm, No. 191; relative energy among the computed polymorphs = 68 meV/atom; calculated volume = 52.5 Å³/atom; total magnetic moment = 0.00 μB per cell
1.0
6.738 0.000 0.000
-3.369 5.836 0.000
0.000 0.000 4.006
K Li
2 1
direct
0.333 0.667 0.500
0.667 0.333 0.500
0.000 0.000 0.000

=====

PBE La4MgIn, optimized geometry; total DFT energy (no corrections) = -4.202 eV per atom; DOS at the Fermi energy = 1.17 states/eV/atom; symmetry = C2/m, No. 12; relative energy among the computed polymorphs = 0 meV/atom; calculated volume = 31.8 Å³/atom; total magnetic moment = 0.00 μB per cell
1.0
4.581 0.000 1.325
2.571 5.620 -0.307
0.210 -2.068 7.856
Mg In La
1 1 4
direct
0.000 0.000 0.000
0.500 0.500 0.500
0.175 0.476 0.174
0.330 0.013 0.327
0.670 0.987 0.673
0.825 0.524 0.826

=====

PBE La2Cr2Ge, optimized geometry; total DFT energy (no corrections) = -6.332 eV per atom; DOS at the Fermi energy = 1.16 states/eV/atom; symmetry = I4/mmm, No. 139; relative energy among the computed polymorphs = 312 meV/atom; calculated volume = 24.9 Å³/atom; total magnetic moment = 6.27 μB per cell
1.0
-3.838 3.875 -1.845
-4.131 -2.663 2.999
-3.224 2.773 3.547
La Cr Ge
2 2 1
direct
0.250 0.750 0.500
0.750 0.250 0.500
0.669 0.669 0.662
0.331 0.331 0.338
0.000 0.000 0.000

=====

PBE LiAg5Au2, optimized geometry; total DFT energy (no corrections) = -2.966 eV per atom; DOS at the Fermi energy = 0.23 states/eV/atom; symmetry = Pbam, No. 55; calculated volume = 17.5 Å³/atom; total magnetic moment = 0.00 μB per cell
1.0
4.016 0.000 0.000
0.000 5.899 0.000
0.000 0.000 11.798
Au Ag Li
4 10 2
direct
0.500 0.757 0.378
0.500 0.743 0.878
0.500 0.243 0.622
0.500 0.257 0.122
0.000 0.002 0.252
0.500 0.251 0.877
0.000 0.502 0.248
0.500 0.249 0.377
0.000 0.000 0.000
0.000 0.998 0.748
0.500 0.749 0.123
0.500 0.751 0.623
0.000 0.498 0.752
0.000 0.500 0.500
0.000 0.000 0.500
0.000 0.500 0.000